No. 1
Material: Tl5HgAu3
Method: DFT, PBE-GGA
State: relaxed

Cell: 8.0495 8.0495 10.3991 Å, 115.67 115.67 77.92°
Closest atoms and distances in Å follow each position.
Atoms (fractional coordinates):
Tl  0.1474  0.6848  0.5970  3 Au 2.94-2.96
Tl  0.2163  0.7837  0.0000  3 Au 2.87-2.93
Tl  0.2441  0.2441  0.9869  3 Au 2.87-3.13, 1 Hg 3.16
Tl  0.3103  0.3103  0.3662  3 Au 2.91-3.09
Tl  0.3152  0.8526  0.4030  3 Au 2.94-2.96
Tl  0.6848  0.1474  0.5970  3 Au 2.94-2.96
Tl  0.6897  0.6897  0.6338  3 Au 2.91-3.09
Tl  0.7559  0.7559  0.0131  3 Au 2.87-3.13, 1 Hg 3.16
Tl  0.7837  0.2163  0.0000  3 Au 2.87-2.93
Tl  0.8526  0.3152  0.4030  3 Au 2.94-2.96
Hg  0.2649  0.2649  0.6981  3 Au 2.76-2.89
Hg  0.7351  0.7351  0.3019  3 Au 2.76-2.89
Au  0.0000  0.0000  0.5000  2 Hg 2.76, 4 Tl 2.96
Au  0.0321  0.0321  0.2058  6 Tl 2.87-2.94
Au  0.4941  0.4941  0.2787  1 Hg 2.89, 5 Tl 2.90-3.09, 1 Au 2.94
Au  0.5000  0.5000  0.0000  2 Hg 2.87, 4 Tl 2.87-3.13, 2 Au 2.94
Au  0.5059  0.5059  0.7213  1 Hg 2.89, 5 Tl 2.90-3.09, 1 Au 2.94
Au  0.9679  0.9679  0.7942  6 Tl 2.87-2.94

Output
E above lowest polymorph: 0.0838 eV/atom
ΔH_f (0 K): 43.8 meV per atom
total magnetization: 0.0 Bohr magnetons per cell
density of states at the Fermi level: 4.1 states/eV/f.u.

=====

No. 2
Material: Tl4Hg8Au3
Method: DFT, PBE-GGA
State: relaxed

Cell: 5.0958 5.0958 15.4781 Å, 90.00 90.00 90.00°
Closest atoms and distances in Å follow each position.
Atoms (fractional coordinates):
Tl  0.0000  0.5000  0.1084  2 Au 3.05, 5 Hg 3.32-3.39
Tl  0.0000  0.5000  0.6094  4 Au 3.06, 4 Hg 3.32-3.39
Tl  0.5000  0.0000  0.3906  4 Au 3.06, 4 Hg 3.32-3.39
Tl  0.5000  0.0000  0.8916  2 Au 3.05, 5 Hg 3.32-3.39
Hg  0.0000  0.0000  0.2532  8 Hg 3.26-3.60, 4 Tl 3.32-3.39
Hg  0.0000  0.0000  0.7468  8 Hg 3.26-3.60, 4 Tl 3.32-3.39
Hg  0.0000  0.5000  0.3843  4 Au 3.11, 4 Hg 3.26-3.33, 1 Tl 3.48
Hg  0.0000  0.5000  0.8914  2 Au 3.05, 4 Hg 3.32-3.39, 1 Tl 3.36
Hg  0.5000  0.0000  0.1086  2 Au 3.05, 4 Hg 3.32-3.39, 1 Tl 3.36
Hg  0.5000  0.0000  0.6157  4 Au 3.11, 4 Hg 3.26-3.33, 1 Tl 3.48
Hg  0.5000  0.5000  0.2462  8 Hg 3.32-3.60, 4 Tl 3.32-3.39
Hg  0.5000  0.5000  0.7538  8 Hg 3.32-3.60, 4 Tl 3.32-3.39
Au  0.0000  0.0000  0.0000  4 Tl 3.05, 4 Hg 3.05
Au  0.0000  0.0000  0.5000  4 Tl 3.06, 4 Hg 3.11
Au  0.5000  0.5000  0.5000  4 Tl 3.06, 4 Hg 3.11

Output
ΔH_f (0 K): 12.7 meV per atom
total magnetization: 0.0 Bohr magnetons per cell
density of states at the Fermi level: 3.4 states/eV/f.u.

=====

No. 3
Material: TlHg2Au2
Method: DFT, PBE-GGA
State: relaxed

Cell: 9.0259 9.0259 9.0259 Å, 155.16 155.16 35.42°
Closest atoms and distances in Å follow each position.
Atoms (fractional coordinates):
Tl  0.0000  0.0000  0.0000  8 Hg 3.36
Hg  0.3869  0.3869  0.0000  4 Au 3.05, 4 Tl 3.36
Hg  0.6131  0.6131  0.0000  4 Au 3.05, 4 Tl 3.36
Au  0.2500  0.7500  0.5000  4 Au 2.75, 4 Hg 3.05
Au  0.7500  0.2500  0.5000  4 Au 2.75, 4 Hg 3.05

Output
E above lowest polymorph: 0.0123 eV/atom
ΔH_f (0 K): 30.2 meV per atom
total magnetization: 0.0 Bohr magnetons per cell
density of states at the Fermi level: 1.5 states/eV/f.u.